Below is an optimized crystal structure of KCa4Rh, with properties calculated at the PBE level.

Cell lengths 6.8380, 6.8380, 6.8380 Å; angles 60.00, 60.00, 60.00 degrees
Last column: nearest neighbours and their distance in Å.
Fractional positions:
1 Ca 0.3734 0.8797 0.3734  6 Ca 3.38-3.46
2 K 0.7500 0.7500 0.7500  12 Ca 4.01, 4 Rh 4.19
3 Ca 0.3734 0.3734 0.3734  6 Ca 3.38-3.46
4 Rh 0.0000 0.0000 0.0000  12 Ca 4.00, 4 K 4.19
5 Ca 0.8797 0.3734 0.3734  6 Ca 3.38-3.46
6 Ca 0.3734 0.3734 0.8797  6 Ca 3.38-3.46

Calculated values
V: 226 Å³/f.u.
Total energy: -2.121 eV per atom
Energy of formation: 3.73 eV/f.u.
Space group: No. 216
Total magnetic moment: 0.00 μB per formula unit